Compound: Tm4Bi3
Source: Alexandria
Functional: PBE-GGA
Structure: relaxed

```
7
Lattice="2.200 1.270 13.234 -2.200 1.270 13.234 0.000 -2.540 13.234" Properties=species:S:1:pos:R:3 pbc="T T T"
Tm 0.000 0.000 4.853
Tm 0.000 0.000 14.526
Tm 0.000 0.000 25.177
Tm 0.000 0.000 34.850
Bi 0.000 0.000 10.218
Bi 0.000 0.000 19.851
Bi 0.000 0.000 29.485
```

Values from the calculation:
- DOS at the Fermi energy (states/eV per cell) = 3.73
- total magnetic moment (μB/atom) = 0.000
- ρ (kg/m³) = 9749
- energy of formation (eV/atom) = -0.529

=====

Compound: PmMgSbRu
Source: Alexandria
Functional: PBE-GGA
Structure: relaxed

```
4
Lattice="0.000 3.427 3.427 3.427 0.000 3.427 3.427 3.427 0.000" Properties=species:S:1:pos:R:3 pbc="T T T"
Pm 0.000 0.000 0.000
Mg 5.140 5.140 5.140
Sb 3.427 3.427 3.427
Ru 1.713 1.713 1.713
```

Values from the calculation:
- DOS at the Fermi energy (states/eV per cell) = 0.31
- formation energy without anion corrections (eV per atom) = -0.282
- total magnetic moment (μB/atom) = 0.000
- ρ (kg/m³) = 8092

=====

Compound: YHoMg4
Source: Alexandria
Functional: PBE-GGA
Structure: relaxed

```
6
Lattice="0.000 4.265 4.265 4.265 0.000 4.265 4.265 4.265 0.000" Properties=species:S:1:pos:R:3 pbc="T T T"
Y 0.000 0.000 0.000
Ho 2.132 2.132 2.132
Mg 5.331 3.198 3.198
Mg 3.198 5.331 3.198
Mg 3.198 3.198 5.331
Mg 5.331 5.331 5.331
```

Values from the calculation:
- DOS at the Fermi energy (states/eV per cell) = 7.84
- total magnetic moment (μB/atom) = 0.000
- ρ (kg/m³) = 3758
- energy of formation (eV/atom) = -0.076

=====

Compound: Sr3FeCl
Source: Alexandria
Functional: PBE-GGA
Structure: relaxed

```
5
Lattice="5.715 0.000 0.000 0.000 5.715 0.000 0.000 0.000 5.715" Properties=species:S:1:pos:R:3 pbc="T T T"
Sr 0.000 0.000 2.858
Sr 0.000 2.858 0.000
Sr 2.858 0.000 0.000
Fe 2.858 2.858 2.858
Cl 0.000 0.000 0.000
```

Values from the calculation:
- DOS at the Fermi energy (states/eV per cell) = 7.34
- formation energy without anion corrections (eV per atom) = -0.027
- total magnetic moment (μB/atom) = 0.275
- ρ (kg/m³) = 3150

=====

Compound: Co2As
Source: Alexandria
Functional: PBE-GGA
Structure: relaxed

```
6
Lattice="-2.415 2.415 3.371 2.415 -2.415 3.371 2.415 2.415 -3.371" Properties=species:S:1:pos:R:3 pbc="T T T"
Co 3.295 0.880 0.000
Co 0.880 1.535 0.000
Co 1.535 0.880 3.371
Co -0.880 1.535 3.371
As 0.000 0.000 1.686
As 0.000 0.000 5.057
```

Values from the calculation:
- DOS at the Fermi energy (states/eV per cell) = 8.29
- total magnetic moment (μB/atom) = 0.603
- ρ (kg/m³) = 8143
- energy of formation (eV/atom) = 0.120

=====

Compound: CaSb2Au
Source: Alexandria
Functional: PBE-GGA
Structure: relaxed

```
4
Lattice="2.202 1.271 6.591 -2.202 1.271 6.591 0.000 -2.542 6.591" Properties=species:S:1:pos:R:3 pbc="T T T"
Ca 0.000 0.000 0.000
Sb 0.000 0.000 4.614
Sb 0.000 0.000 15.160
Au 0.000 0.000 9.887
```

Values from the calculation:
- DOS at the Fermi energy (states/eV per cell) = 1.66
- formation energy without anion corrections (eV per atom) = -0.301
- total magnetic moment (μB/atom) = 0.000
- ρ (kg/m³) = 7209

=====

Compound: Ce3Pa3NiN8
Source: Alexandria
Functional: PBE-GGA
Structure: relaxed

```
15
Lattice="3.435 1.983 5.685 -3.435 1.983 5.685 0.000 -3.966 5.685" Properties=species:S:1:pos:R:3 pbc="T T T"
Ce -1.717 -0.992 5.685
Ce -1.717 0.992 11.371
Ce 0.000 1.983 5.685
Pa -3.435 0.000 8.528
Pa -1.717 0.992 2.843
Pa 1.717 0.992 2.843
Ni 0.000 0.000 8.528
N 0.000 0.000 4.151
N -1.688 -0.975 9.763
N 0.000 -1.949 7.293
N -1.688 0.975 7.293
N 1.688 -0.975 9.763
N 0.000 1.949 9.763
N 1.688 0.975 7.293
N 0.000 0.000 12.905
```

Values from the calculation:
- DOS at the Fermi energy (states/eV per cell) = 12.85
- formation energy without anion corrections (eV per atom) = -1.128
- total magnetic moment (μB/atom) = 0.202
- ρ (kg/m³) = 9178

=====

Compound: Ba6Sr8Ir
Source: Alexandria
Functional: PBE-GGA
Structure: relaxed

```
15
Lattice="5.784 3.339 7.122 -5.784 3.339 7.122 0.000 -6.678 7.122" Properties=species:S:1:pos:R:3 pbc="T T T"
Ba -1.685 -1.916 8.894
Ba -2.502 0.501 12.472
Ba -0.817 2.417 8.894
Ba 0.817 -2.417 12.472
Ba 2.502 -0.501 8.894
Ba 1.685 1.916 12.472
Sr -5.040 1.052 8.824
Sr -3.431 -3.838 12.541
Sr 0.000 0.000 5.298
Sr 1.609 -4.891 8.824
Sr -1.609 4.891 12.541
Sr 0.000 0.000 16.068
Sr 3.431 3.838 8.824
Sr 5.040 -1.052 12.541
Ir 0.000 0.000 0.000
```

Values from the calculation:
- DOS at the Fermi energy (states/eV per cell) = 13.73
- total magnetic moment (μB/atom) = 0.000
- ρ (kg/m³) = 3455
- energy of formation (eV/atom) = -0.065